The following is a DFT calculation (PBE-GGA) of a geometry-optimized NaSiAu2S4 structure.

Raw total energy = -4.1893 eV/atom
Total magnetization = 0.000 μB/cell
SG = I222, No. 23

Lattice parameters (Å, degrees): 6.4634 6.2974 6.2974 88.52 59.12 59.12
Element x y z (fractional)
1 Au 0.5000 0.3405 0.6595
2 Au 0.5000 0.6595 0.3405
3 Na 0.0000 0.0000 0.0000
4 S 0.6036 0.5687 0.8422
5 S 0.9854 0.8422 0.5687
6 S 0.3964 0.1578 0.4313
7 S 0.0146 0.4313 0.1578
8 Si 0.0000 0.5000 0.5000

The following is a DFT calculation (PBE-GGA) of a geometry-optimized NaSiAu2S structure.

Polymorph energy (0 for the lowest one) = 1383 meV/atom
Total magnetization = 0.000 μB/cell
SG = P4/mmm, No. 123

Lattice parameters (Å, degrees): 4.8607 5.1527 4.8607 90.00 90.00 90.00
Element x y z (fractional)
1 S 0.5000 0.5000 0.5000
2 Na 0.0000 0.0000 0.0000
3 Au 0.0000 0.0000 0.5000
4 Au 0.5000 0.0000 0.0000
5 Si 0.0000 0.5000 0.0000